No. 1
Compound: Cs2Ag2PbF6
Source: the Alexandria database
Functional: PBE-GGA
Structure: optimized geometry

The structure in extended XYZ format:
```
11
Lattice="6.700 0.000 0.000 -3.350 6.171 -0.021 0.000 -3.552 6.216" Properties=species:S:1:pos:R:3 pbc="T T T"
Cs 3.350 2.143 1.103
Cs 0.000 0.476 5.092
Ag 3.350 2.563 4.760
Ag 0.000 0.055 1.436
Pb 3.350 -1.776 3.108
F 3.350 0.588 3.775
F -1.655 4.705 1.279
F 1.695 -2.086 4.916
F 5.005 -2.086 4.916
F 1.655 4.705 1.279
F 0.000 2.030 2.420
```

Computed properties:
The total energy is -4.008 eV per atom. For the total moment, the calculation gives 0.00 μB/f.u.

No. 2
Compound: CeDy5Pb6
Source: the Alexandria database
Functional: PBE-GGA
Structure: optimized geometry

The structure in extended XYZ format:
```
12
Lattice="-4.107 -0.864 -7.563 2.780 -2.854 -4.724 -1.544 -8.204 0.006" Properties=species:S:1:pos:R:3 pbc="T T T"
Ce 0.000 0.000 0.000
Dy -2.657 -6.463 -4.534
Dy 0.387 -3.744 -1.552
Dy -0.664 -1.859 -6.143
Dy 0.849 -7.314 -3.165
Dy -0.215 -5.460 -7.745
Pb -3.318 -3.678 -6.034
Pb 0.002 -4.632 -4.648
Pb -0.242 -0.979 -3.102
Pb -1.085 -2.740 -9.185
Pb -2.874 -7.291 -7.632
Pb 0.446 -8.245 -6.246
```

Computed properties:
The calculation puts the energy relative to the elements at -0.42 eV/atom. The total energy is -4.682 eV per atom. For the total moment, the calculation gives 1.00 μB/f.u. For the offset from the most stable computed form, the calculation gives 0.006 eV/atom.

No. 3
Compound: ZrV2Au2
Source: the Alexandria database
Functional: PBE-GGA
Structure: optimized geometry

The structure in extended XYZ format:
```
10
Lattice="-7.214 1.074 2.618 0.966 -5.804 5.043 0.979 1.849 1.941" Properties=species:S:1:pos:R:3 pbc="T T T"
Au -0.185 -2.854 4.911
Au -3.667 -3.069 6.873
Au -5.084 -0.027 4.690
Au -1.602 0.187 2.728
Zr 0.000 0.000 0.000
Zr -3.124 -2.365 3.830
V -1.969 -4.759 5.528
V -5.852 -2.568 5.400
V -4.279 0.028 2.133
V -0.396 -2.163 2.261
```

Computed properties:
The calculation puts the energy relative to the elements at 0.01 eV/atom. The total energy is -6.656 eV per atom. For the total moment, the calculation gives 0.00 μB/f.u. For the offset from the most stable computed form, the calculation gives 0.002 eV/atom.